(P)
This record from Alexandria via LeMat-Bulk describes Be2CdP after structural relaxation. The functional is PBE-GGA.

Cell: 3.522 3.522 9.018 Å, 90.00 90.00 90.00°
Space group I-4m2 (No. 119)
One atom of each set of equivalent atoms:
Be 0.000 0.000 0.000 [2 per cell]
Be 0.000 0.500 0.250 [2 per cell]
Cd 0.000 0.500 0.750 [2 per cell]
P 0.000 0.000 0.500 [2 per cell]

## Properties
**D(E_F)**: 2.1 states/eV/cell
**Density**: 4.79 g/cm3

---

(Q)
This record from Alexandria via LeMat-Bulk describes Be2CdP after structural relaxation. The functional is PBE-GGA.

Cell: 4.575 4.575 2.656 Å, 90.00 90.00 90.00°
Space group P4/mmm (No. 123)
One atom of each set of equivalent atoms:
Be 0.000 0.500 0.000 [2 per cell]
Cd 0.000 0.000 0.500 [1 per cell]
P 0.500 0.500 0.500 [1 per cell]

## Properties
**D(E_F)**: 0.6 states/eV/cell
**Density**: 4.82 g/cm3

---

Computed stability ranking, most favorable first: (P), (Q)

---

(P)
This record from Alexandria via LeMat-Bulk describes Be2CdP after structural relaxation. The functional is PBE-GGA.

Cell: 3.086 3.086 5.778 Å, 90.00 90.00 90.00°
Space group P4/mmm (No. 123)
One atom of each set of equivalent atoms:
Be 0.000 0.000 0.178 [2 per cell]
Cd 0.500 0.500 0.500 [1 per cell]
P 0.500 0.500 0.000 [1 per cell]

## Properties
**D(E_F)**: 2.1 states/eV/cell
**Density**: 4.87 g/cm3

---

(Q)
This record from Alexandria via LeMat-Bulk describes Be2CdP after structural relaxation. The functional is PBE-GGA.

Cell: 3.415 3.583 4.590 Å, 90.00 90.00 90.00°
Space group Pmmm (No. 47)
One atom of each set of equivalent atoms:
Be 0.000 0.000 0.000 [1 per cell]
Be 0.000 0.500 0.500 [1 per cell]
Cd 0.500 0.000 0.500 [1 per cell]
P 0.500 0.500 0.000 [1 per cell]

## Properties
**D(E_F)**: 1.8 states/eV/cell
**Density**: 4.77 g/cm3

---

(R)
This record from Alexandria via LeMat-Bulk describes Be2CdP after structural relaxation. The functional is PBE-GGA.

Cell: 3.181 3.207 11.221 Å, 90.00 90.00 90.00°
Space group Imm2 (No. 44)
One atom of each set of equivalent atoms:
Be 0.000 0.000 0.000 [2 per cell]
Be 0.000 0.500 0.356 [2 per cell]
Cd 0.000 0.500 0.715 [2 per cell]
P 0.000 0.000 0.490 [2 per cell]

## Properties
**D(E_F)**: 1.9 states/eV/cell
**Density**: 4.68 g/cm3

---

(S)
This record from Alexandria via LeMat-Bulk describes Be2CdP after structural relaxation. The functional is PBE-GGA.

Cell: 5.751 5.751 9.020 Å, 90.00 90.00 90.00°
Space group I-42d (No. 122)
One atom of each set of equivalent atoms:
Be 0.168 0.250 0.125 [8 per cell]
Cd 0.000 0.000 0.500 [4 per cell]
P 0.000 0.000 0.000 [4 per cell]

## Properties
**D(E_F)**: 11.2 states/eV/cell
**Density**: 3.59 g/cm3

---

Computed stability ranking, most favorable first: (R), (S), (P), (Q)

---

(P)
This record from Alexandria via LeMat-Bulk describes Be2CdP after structural relaxation. The functional is PBE-GGA.

Cell: 2.737 3.373 6.486 Å, 90.00 99.01 90.00°
Space group P2/m (No. 10)
One atom of each set of equivalent atoms:
Be 0.049 0.000 0.296 [2 per cell]
Cd 0.500 0.500 0.000 [1 per cell]
P 0.000 0.500 0.500 [1 per cell]

## Properties
**D(E_F)**: 1.6 states/eV/cell
**Density**: 4.53 g/cm3

---

(Q)
This record from Alexandria via LeMat-Bulk describes Be2CdP after structural relaxation. The functional is PBE-GGA.

Cell: 7.104 3.359 5.560 Å, 90.00 100.60 90.00°
Space group Cm (No. 8)
One atom of each set of equivalent atoms:
Be 0.000 0.000 0.000 [2 per cell]
Be 0.205 0.500 0.924 [2 per cell]
Cd 0.300 0.000 0.311 [2 per cell]
P 0.408 0.000 0.777 [2 per cell]

## Properties
**D(E_F)**: 1.7 states/eV/cell
**Density**: 4.11 g/cm3

---

Computed stability ranking, most favorable first: (Q), (P)

---

(P)
This record from Alexandria via LeMat-Bulk describes Be2CdP after structural relaxation. The functional is PBE-GGA.

Cell: 2.7601 2.7601 27.8286 Å, 90.00 90.00 120.00°
Space group R3m (No. 160, hexagonal axes)
One atom of each set of equivalent atoms:
Be 0.0000 0.0000 0.0000 [3 per cell]
Be 0.0000 0.0000 0.2717 [3 per cell]
Cd 0.0000 0.0000 0.7547 [3 per cell]
P 0.0000 0.0000 0.5474 [3 per cell]

## Properties
**D(E_F)**: 3.1 states/eV/cell
**Density**: 4.38 g/cm3

---

(Q)
This record from Alexandria via LeMat-Bulk describes Be2CdP after structural relaxation. The functional is PBE-GGA.

Cell: 3.458 3.494 10.607 Å, 90.00 90.00 90.00°
Space group Amm2 (No. 38)
One atom of each set of equivalent atoms:
Be 0.000 0.000 0.000 [2 per cell]
Be 0.500 0.000 0.490 [2 per cell]
Cd 0.000 0.000 0.680 [2 per cell]
P 0.500 0.000 0.882 [2 per cell]

## Properties
**D(E_F)**: 1.7 states/eV/cell
**Density**: 4.18 g/cm3

---

Computed stability ranking, most favorable first: (Q), (P)

---

(P)
This record from Alexandria via LeMat-Bulk describes BeCd2P2 after structural relaxation. The functional is PBE-GGA.

Cell: 3.234 3.234 17.066 Å, 90.00 90.00 90.00°
Space group I4/mmm (No. 139)
One atom of each set of equivalent atoms:
Be 0.000 0.000 0.000 [2 per cell]
Cd 0.000 0.000 0.410 [4 per cell]
P 0.000 0.500 0.250 [4 per cell]

## Properties
**D(E_F)**: 2.8 states/eV/cell
**Density**: 5.50 g/cm3

---

(Q)
This record from Alexandria via LeMat-Bulk describes BeCd2P2 after structural relaxation. The functional is PBE-GGA.

Cell: 5.780 5.780 5.515 Å, 90.00 90.00 90.00°
Space group P4/mbm (No. 127)
One atom of each set of equivalent atoms:
Be 0.000 0.000 0.000 [2 per cell]
Cd 0.185 0.315 0.500 [4 per cell]
P 0.133 0.367 0.000 [4 per cell]

## Properties
**D(E_F)**: 3.7 states/eV/cell
**Density**: 5.33 g/cm3

---

Computed stability ranking, most favorable first: (Q), (P)

---

(P)
This record from Alexandria via LeMat-Bulk describes BeCdPS2 after structural relaxation. The functional is PBE-GGA.

Cell: 4.969 4.969 4.954 Å, 90.00 90.00 90.00°
Space group P4/mmm (No. 123)
One atom of each set of equivalent atoms:
Be 0.000 0.000 0.000 [1 per cell]
Cd 0.500 0.500 0.500 [1 per cell]
P 0.500 0.500 0.000 [1 per cell]
S 0.000 0.500 0.500 [2 per cell]

## Properties
**D(E_F)**: 4.8 states/eV/cell
**Density**: 2.94 g/cm3

---

(Q)
This record from Alexandria via LeMat-Bulk describes BeCdPS2 after structural relaxation. The functional is PBE-GGA.

Cell: 4.684 4.684 4.009 Å, 90.00 90.00 90.00°
Space group P4/mmm (No. 123)
One atom of each set of equivalent atoms:
Be 0.000 0.000 0.000 [1 per cell]
Cd 0.500 0.500 0.500 [1 per cell]
P 0.000 0.000 0.500 [1 per cell]
S 0.000 0.500 0.000 [2 per cell]

## Properties
**D(E_F)**: 2.7 states/eV/cell
**Density**: 4.09 g/cm3

---

Computed stability ranking, most favorable first: (Q), (P)

---

(P)
This record from Alexandria via LeMat-Bulk describes BeCdP2S after structural relaxation. The functional is PBE-GGA.

Cell: 4.938 4.938 4.984 Å, 90.00 90.00 90.00°
Space group P4/mmm (No. 123)
One atom of each set of equivalent atoms:
Be 0.000 0.000 0.000 [1 per cell]
Cd 0.500 0.500 0.500 [1 per cell]
P 0.000 0.500 0.500 [2 per cell]
S 0.500 0.500 0.000 [1 per cell]

## Properties
**D(E_F)**: 4.8 states/eV/cell
**Density**: 2.94 g/cm3

---

(Q)
This record from Alexandria via LeMat-Bulk describes BeCdP2S after structural relaxation. The functional is PBE-GGA.

Cell: 4.168 4.168 5.023 Å, 90.00 90.00 90.00°
Space group P4/mmm (No. 123)
One atom of each set of equivalent atoms:
Be 0.000 0.000 0.000 [1 per cell]
Cd 0.500 0.500 0.500 [1 per cell]
P 0.000 0.500 0.000 [2 per cell]
S 0.000 0.000 0.500 [1 per cell]

## Properties
**D(E_F)**: 2.8 states/eV/cell
**Density**: 4.10 g/cm3

---

Computed stability ranking, most favorable first: (Q), (P)

---

(P)
This record from Alexandria via LeMat-Bulk describes BeCdPb2 after structural relaxation. The functional is PBE-GGA.

Cell: 3.6411 3.6411 25.6016 Å, 90.00 90.00 120.00°
Space group R-3m (No. 166, hexagonal axes)
One atom of each set of equivalent atoms:
Be 0.0000 0.0000 0.0000 [3 per cell]
Cd 0.0000 0.0000 0.5000 [3 per cell]
Pb 0.0000 0.0000 0.2652 [6 per cell]

## Properties
**D(E_F)**: 5.5 states/eV/cell
**Density**: 9.08 g/cm3

---

(Q)
This record from Alexandria via LeMat-Bulk describes BeCdPb2 after structural relaxation. The functional is PBE-GGA.

Cell: 4.493 5.167 8.365 Å, 90.00 90.00 90.00°
Space group Cmm2 (No. 35)
One atom of each set of equivalent atoms:
Be 0.000 0.000 0.000 [2 per cell]
Cd 0.000 0.500 0.163 [2 per cell]
Pb 0.000 0.000 0.425 [2 per cell]
Pb 0.000 0.500 0.791 [2 per cell]

## Properties
**D(E_F)**: 3.4 states/eV/cell
**Density**: 9.16 g/cm3

---

Computed stability ranking, most favorable first: (Q), (P)